AlZnW2 PBE optimized geometry; Fermi-level density of states = 2.1 states/eV per cell; volume = 15.37 Å³/atom; energy of formation from the pure elements = 0.168 eV/atom; ΔE to the lowest computed polymorph = 105.2 meV/atom
1.0
2.8787 -2.8837 0.0000
2.8787 2.8837 0.0000
-2.8702 0.0000 3.7019
Al Zn W
1 1 2
Direct
0.0000 0.0000 0.0000 Al
0.2493 0.7507 0.5000 Zn
0.5000 0.5000 0.0000 W
0.7491 0.2509 0.5000 W


NiC2Cl PBE optimized geometry; Fermi-level density of states = 1.8 states/eV per cell; formation energy (no corrections) = 2.81 eV/atom; volume = 10.43 Å³/atom; ΔE to the lowest computed polymorph = 1127.6 meV/atom
1.0
0.0000 2.7530 2.7530
2.7530 0.0000 2.7530
2.7530 2.7530 0.0000
Ni C Cl
1 2 1
Direct
0.0000 0.0000 0.0000 Ni
0.2500 0.2500 0.2500 C
0.7500 0.7500 0.7500 C
0.5000 0.5000 0.5000 Cl


Tb3Zr2NbN6 PBE optimized geometry; Fermi-level density of states = 4.7 states/eV per cell; formation energy (no corrections) = -1.57 eV/atom; volume = 13.18 Å³/atom
1.0
2.8789 -4.9836 0.0000
2.8789 4.9836 0.0000
-1.9260 0.0000 5.5135
Tb Zr Nb N
3 2 1 6
Direct
0.0000 0.0000 0.0000 Tb
0.3338 0.6662 0.0000 Tb
0.6662 0.3338 0.0000 Tb
0.1669 0.8331 0.5000 Zr
0.8331 0.1669 0.5000 Zr
0.5000 0.5000 0.5000 Nb
0.0915 0.4237 0.2712 N
0.2439 0.2439 0.7317 N
0.4237 0.0915 0.2712 N
0.5763 0.9085 0.7288 N
0.7561 0.7561 0.2683 N
0.9085 0.5763 0.7288 N


Ho3Bi2Rh PBE optimized geometry; Fermi-level density of states = 2.4 states/eV per cell; volume = 28.48 Å³/atom; energy of formation from the pure elements = -0.639 eV/atom
1.0
-2.0817 3.0799 6.6622
2.0817 -3.0799 6.6622
2.0817 3.0799 -6.6622
Ho Bi Rh
3 2 1
Direct
0.0000 0.0000 0.0000 Ho
0.3603 0.3603 0.0000 Ho
0.6397 0.6397 0.0000 Ho
0.1769 0.6769 0.5000 Bi
0.8231 0.3231 0.5000 Bi
0.5000 0.0000 0.5000 Rh


ScCrIn2 PBE optimized geometry; Fermi-level density of states = 2.9 states/eV per cell; volume = 20.85 Å³/atom; energy of formation from the pure elements = -0.048 eV/atom; ΔE to the lowest computed polymorph = 0.0 meV/atom
1.0
4.3816 0.0000 0.0000
0.0000 4.3816 0.0000
0.0000 0.0000 4.3438
Sc Cr In
1 1 2
Direct
0.0000 0.0000 0.0000 Sc
0.5000 0.5000 0.0000 Cr
0.0000 0.5000 0.5000 In
0.5000 0.0000 0.5000 In


YMn2Mo PBE optimized geometry; Fermi-level density of states = 4.7 states/eV per cell; volume = 17.07 Å³/atom; energy of formation from the pure elements = 0.210 eV/atom; ΔE to the lowest computed polymorph = 6.1 meV/atom
1.0
3.1132 0.0000 0.0000
0.0000 3.1132 0.0000
0.0000 0.0000 7.0455
Y Mn Mo
1 2 1
Direct
0.0000 0.0000 0.0000 Y
0.5000 0.5000 0.3077 Mn
0.5000 0.5000 0.6923 Mn
0.0000 0.0000 0.5000 Mo


TlAuSe2 PBE optimized geometry; Fermi-level density of states = 3.6 states/eV per cell; formation energy (no corrections) = 0.08 eV/atom; volume = 28.89 Å³/atom
1.0
1.9224 1.1099 9.0282
-1.9224 1.1099 9.0282
0.0000 -2.2198 9.0282
Tl Au Se
1 1 2
Direct
0.0000 0.0000 0.0000 Tl
0.5000 0.5000 0.5000 Au
0.1137 0.1137 0.1137 Se
0.8863 0.8863 0.8863 Se


LiAu2 PBE optimized geometry; Fermi-level density of states = 1.3 states/eV per cell; volume = 15.84 Å³/atom; energy of formation from the pure elements = -0.254 eV/atom
1.0
-3.1314 3.1314 2.4228
3.1314 -3.1314 2.4228
3.1314 3.1314 -2.4228
Li Au
2 4
Direct
0.2500 0.2500 0.0000 Li
0.7500 0.7500 0.0000 Li
0.1584 0.6584 0.8168 Au
0.3416 0.1584 0.5000 Au
0.6584 0.8416 0.5000 Au
0.8416 0.3416 0.1832 Au


NaCuH3 PBE optimized geometry; Fermi-level density of states = 0.0 states/eV per cell; volume = 12.34 Å³/atom; ΔE to the lowest computed polymorph = 53.4 meV/atom
1.0
7.2307 -1.6979 0.0000
7.2307 1.6979 0.0000
-1.2816 0.0000 5.0273
Na Cu H
2 2 6
Direct
0.1268 0.1268 0.3844 Na
0.8732 0.8732 0.6156 Na
0.3056 0.3056 0.1269 Cu
0.6944 0.6944 0.8731 Cu
0.1861 0.1861 0.0162 H
0.3936 0.3936 0.3779 H
0.4797 0.4797 0.0361 H
0.5203 0.5203 0.9639 H
0.6064 0.6064 0.6221 H
0.8139 0.8139 0.9838 H


SrPm2Ru PBE optimized geometry; Fermi-level density of states = 2.0 states/eV per cell; volume = 35.96 Å³/atom; energy of formation from the pure elements = -0.067 eV/atom; ΔE to the lowest computed polymorph = 8.3 meV/atom
1.0
2.0813 1.2017 9.5853
-2.0813 1.2017 9.5853
0.0000 -2.4033 9.5853
Sr Pm Ru
1 2 1
Direct
0.0000 0.0000 0.0000 Sr
0.2169 0.2169 0.2169 Pm
0.7831 0.7831 0.7831 Pm
0.5000 0.5000 0.5000 Ru


LiTmGa2 PBE optimized geometry; Fermi-level density of states = 1.6 states/eV per cell; volume = 19.32 Å³/atom; energy of formation from the pure elements = -0.460 eV/atom; ΔE to the lowest computed polymorph = 26.6 meV/atom
1.0
3.7003 -2.1421 0.0000
3.7003 2.1421 0.0000
-2.4764 0.0000 4.8742
Li Tm Ga
1 1 2
Direct
0.0000 0.0000 0.0000 Li
0.5000 0.5000 0.5000 Tm
0.2872 0.2872 0.8616 Ga
0.7128 0.7128 0.1384 Ga


NdSm4In2 PBE optimized geometry; Fermi-level density of states = 10.6 states/eV per cell; volume = 32.33 Å³/atom; energy of formation from the pure elements = 0.102 eV/atom; ΔE to the lowest computed polymorph = 205.2 meV/atom
1.0
-2.9773 2.9773 6.3836
2.9773 -2.9773 6.3836
2.9773 2.9773 -6.3836
Nd Sm In
1 4 2
Direct
0.0000 0.0000 0.0000 Nd
0.0000 0.5000 0.5000 Sm
0.2500 0.7500 0.5000 Sm
0.5000 0.0000 0.5000 Sm
0.7500 0.2500 0.5000 Sm
0.3754 0.3754 0.0000 In
0.6246 0.6246 0.0000 In


Pr9Tl2Sn PBE optimized geometry; Fermi-level density of states = 19.0 states/eV per cell; volume = 31.60 Å³/atom; energy of formation from the pure elements = -0.294 eV/atom
1.0
5.0203 0.0000 0.0000
0.0000 5.0203 0.0000
0.0000 0.0000 15.0465
Pr Tl Sn
9 2 1
Direct
0.0000 0.0000 0.0000 Pr
0.0000 0.0000 0.3326 Pr
0.0000 0.0000 0.6674 Pr
0.0000 0.5000 0.1636 Pr
0.0000 0.5000 0.5000 Pr
0.0000 0.5000 0.8364 Pr
0.5000 0.0000 0.1636 Pr
0.5000 0.0000 0.5000 Pr
0.5000 0.0000 0.8364 Pr
0.5000 0.5000 0.3330 Tl
0.5000 0.5000 0.6670 Tl
0.5000 0.5000 0.0000 Sn


La9TmTl2 PBE optimized geometry; Fermi-level density of states = 17.1 states/eV per cell; volume = 33.48 Å³/atom; energy of formation from the pure elements = -0.148 eV/atom
1.0
5.0920 0.0000 0.0000
0.0000 5.0920 0.0000
0.0000 0.0000 15.4960
La Tm Tl
9 1 2
Direct
0.0000 0.0000 0.0000 La
0.0000 0.0000 0.3347 La
0.0000 0.0000 0.6653 La
0.0000 0.5000 0.1704 La
0.0000 0.5000 0.5000 La
0.0000 0.5000 0.8296 La
0.5000 0.0000 0.1704 La
0.5000 0.0000 0.5000 La
0.5000 0.0000 0.8296 La
0.5000 0.5000 0.0000 Tm
0.5000 0.5000 0.3374 Tl
0.5000 0.5000 0.6626 Tl


SrLaZr2 PBE optimized geometry; Fermi-level density of states = 6.4 states/eV per cell; volume = 33.04 Å³/atom; energy of formation from the pure elements = 0.238 eV/atom; ΔE to the lowest computed polymorph = 0.0 meV/atom
1.0
3.8830 0.0000 0.0000
0.0000 3.8830 0.0000
0.0000 0.0000 8.7645
Sr La Zr
1 1 2
Direct
0.0000 0.0000 0.0000 Sr
0.5000 0.5000 0.6440 La
0.0000 0.0000 0.4083 Zr
0.5000 0.5000 0.2720 Zr


Y2C PBE optimized geometry; Fermi-level density of states = 8.0 states/eV per cell; volume = 26.48 Å³/atom; energy of formation from the pure elements = 0.079 eV/atom
1.0
3.7364 0.0000 0.0000
-1.8682 3.2358 0.0000
0.0000 0.0000 19.7126
Y C
6 3
Direct
0.0000 0.0000 0.1059 Y
0.0000 0.0000 0.8941 Y
0.3333 0.6667 0.5662 Y
0.3333 0.6667 0.7418 Y
0.6667 0.3333 0.2582 Y
0.6667 0.3333 0.4338 Y
0.0000 0.0000 0.5000 C
0.3333 0.6667 0.8524 C
0.6667 0.3333 0.1476 C


Pm2Sn3SbRh4 PBE optimized geometry; Fermi-level density of states = 5.9 states/eV per cell; formation energy (no corrections) = -0.72 eV/atom; volume = 21.63 Å³/atom
1.0
4.4871 0.0000 0.0000
0.0000 4.4871 0.0000
0.0000 0.0000 10.7427
Pm Sn Sb Rh
2 3 1 4
Direct
0.0000 0.5000 0.2492 Pm
0.5000 0.0000 0.7508 Pm
0.0000 0.5000 0.8696 Sn
0.5000 0.0000 0.1304 Sn
0.5000 0.5000 0.5000 Sn
0.0000 0.0000 0.5000 Sb
0.0000 0.0000 0.0000 Rh
0.0000 0.5000 0.6288 Rh
0.5000 0.0000 0.3712 Rh
0.5000 0.5000 0.0000 Rh


ZrNi2RuI PBE optimized geometry; Fermi-level density of states = 5.7 states/eV per cell; formation energy (no corrections) = 0.98 eV/atom; volume = 20.48 Å³/atom; ΔE to the lowest computed polymorph = 0.0 meV/atom
1.0
4.5178 0.0000 0.0000
0.0000 4.5178 0.0000
0.0000 0.0000 5.0168
Zr Ni Ru I
1 2 1 1
Direct
0.0000 0.0000 0.0000 Zr
0.0000 0.5000 0.5000 Ni
0.5000 0.0000 0.5000 Ni
0.5000 0.5000 0.5000 Ru
0.5000 0.5000 0.0000 I


W2BrCl PBE optimized geometry; Fermi-level density of states = 2.9 states/eV per cell; formation energy (no corrections) = 1.48 eV/atom; volume = 18.90 Å³/atom; ΔE to the lowest computed polymorph = 1547.0 meV/atom
1.0
3.0978 0.0000 0.0000
0.0000 3.7562 0.0000
0.0000 0.0000 6.4977
W Br Cl
2 1 1
Direct
0.0000 0.0000 0.1796 W
0.0000 0.0000 0.8204 W
0.5000 0.5000 0.5000 Br
0.5000 0.5000 0.0000 Cl


NdGa9Tc2 PBE optimized geometry; Fermi-level density of states = 4.2 states/eV per cell; volume = 17.87 Å³/atom; energy of formation from the pure elements = -0.297 eV/atom
1.0
8.5870 0.0000 0.0000
-4.2935 7.4365 0.0000
0.0000 0.0000 3.3586
Nd Ga Tc
1 9 2
Direct
0.0000 0.0000 0.0000 Nd
0.0000 0.5000 0.0000 Ga
0.1913 0.3827 0.5000 Ga
0.1913 0.8087 0.5000 Ga
0.3827 0.1913 0.5000 Ga
0.5000 0.0000 0.0000 Ga
0.5000 0.5000 0.0000 Ga
0.6173 0.8087 0.5000 Ga
0.8087 0.1913 0.5000 Ga
0.8087 0.6173 0.5000 Ga
0.3333 0.6667 0.0000 Tc
0.6667 0.3333 0.0000 Tc


It is found that the total magnetic moment values, taken in the order of the records, are 0.000 0.000 0.000 0.000 1.012 0.821 0.000 0.000 0.000 0.000 0.000 0.000 0.000 0.000 0.000 0.111 0.000 0.211 0.000 0.000 μB per atom.